Density functional theory data (PBE+U) for an optimized crystal structure of Co2SbF.

Structure (POSCAR):
```
Co2SbF
1.0
-2.365 2.365 6.479
2.365 -2.365 6.479
2.365 2.365 -6.479
Co Sb F
4 2 2
Cartesian
0.364 1.182 1.620
-1.182 2.000 4.859
-0.364 3.547 1.620
1.182 2.729 4.859
2.365 0.000 3.239
0.000 0.000 6.479
0.000 0.000 0.000
0.000 2.365 3.239
```

Calculated values
- ΔE to the lowest computed polymorph (meV/atom) = 0
- spin magnetization (Bohr magnetons per cell) = 8.28


Density functional theory data (PBE+U) for an optimized crystal structure of PaMnAuO6.

Structure (POSCAR):
```
PaMnAuO6
1.0
5.099 0.000 0.000
0.000 5.099 0.000
0.000 0.000 9.444
Pa Mn Au O
2 2 2 12
Cartesian
0.000 0.000 0.000
2.549 2.549 4.722
0.000 0.000 6.278
2.549 2.549 1.556
0.000 0.000 3.180
2.549 2.549 7.902
0.898 0.898 7.766
0.916 0.916 4.789
0.971 0.971 1.630
1.578 3.521 6.352
1.634 3.465 0.067
1.651 3.448 3.044
3.448 1.651 3.044
3.465 1.634 0.067
3.521 1.578 6.352
4.127 4.127 1.630
4.183 4.183 4.789
4.201 4.201 7.766
```

Calculated values
- spin magnetization (Bohr magnetons per cell) = 6.46
- DFT total energy (eV/atom) = -7.260


> The lowest spin magnetization belongs to which entry?

PaMnAuO6


Please write out number 1 again, unchanged.
Density functional theory data (PBE+U) for an optimized crystal structure of Co2SbF.

Structure (POSCAR):
```
Co2SbF
1.0
-2.365 2.365 6.479
2.365 -2.365 6.479
2.365 2.365 -6.479
Co Sb F
4 2 2
Cartesian
0.364 1.182 1.620
-1.182 2.000 4.859
-0.364 3.547 1.620
1.182 2.729 4.859
2.365 0.000 3.239
0.000 0.000 6.479
0.000 0.000 0.000
0.000 2.365 3.239
```

Calculated values
- ΔE to the lowest computed polymorph (meV/atom) = 0
- spin magnetization (Bohr magnetons per cell) = 8.28


> Look up the spin magnetization of the first one.

8.28 Bohr magnetons per cell